VASP calculation (GGA-PBE) on Sc2POs after structural relaxation.

Lattice parameters (Å, degrees): 5.259 5.259 5.259 47.17 47.17 47.17
Element x y z (fractional)
Sc (0.775, 0.775, 0.775)
Sc (0.978, 0.978, 0.978)
Os (0.552, 0.552, 0.552)
P (0.195, 0.195, 0.195)

Values from the calculation:
E_form: -639 meV/atom
DOS at the Fermi energy: 3.16 states/eV/f.u.